K2PrAgI6 after structural relaxation. Source: Alexandria, functional PBE-GGA.

Lattice parameters (Å, degrees): 8.233 8.745 14.279 90.00 124.77 90.00
Sites, in units of the cell vectors:
K 0.215 0.089 0.247
K 0.215 0.411 0.747
K 0.785 0.589 0.253
K 0.785 0.911 0.753
Pr 0.500 0.000 0.000
Pr 0.500 0.500 0.500
Ag 0.000 0.000 0.500
Ag 0.000 0.500 0.000
I 0.132 0.194 0.943
I 0.132 0.306 0.443
I 0.257 0.694 0.946
I 0.257 0.806 0.446
I 0.356 0.025 0.743
I 0.356 0.475 0.243
I 0.644 0.525 0.757
I 0.644 0.975 0.257
I 0.743 0.194 0.554
I 0.743 0.306 0.054
I 0.868 0.694 0.557
I 0.868 0.806 0.057

ΔE_f (raw) = -1.1907 eV/atom
Total magnetic moment = 0.00 μB/cell
ΔE to the lowest computed polymorph = 0.000 eV per atom